YHoInTc, relaxed, DFT PBE-GGA; raw total energy = -6.20 eV/atom; space-group type = No. 216; M_tot = 0.00 Bohr magnetons per cell; crystal system = cubic
1.0
-2.100 -4.491 -1.055
2.103 -3.027 -3.480
2.314 -4.278 1.428
Y Ho Tc In
1 1 1 1
Direct
0.000 0.000 0.000 Y
0.500 0.500 0.500 Ho
0.250 0.250 0.250 Tc
0.750 0.750 0.750 In

***

NiTe5, relaxed, DFT PBE-GGA; raw total energy = -3.28 eV/atom; ΔE_f (raw) = 172 kJ/mol of formula units; energy relative to the lowest polymorph listed for this composition = 0.327 eV per atom; space-group type = No. 123; M_tot = 0.00 Bohr magnetons per cell; crystal system = tetragonal
1.0
-2.518 -2.042 1.239
-0.846 -0.921 -3.238
8.401 -9.969 0.642
Te Ni
5 1
Direct
0.500 0.500 0.663 Te
0.500 0.500 0.337 Te
0.000 0.000 0.500 Te
0.000 0.000 0.890 Te
0.000 0.000 0.110 Te
0.500 0.500 0.000 Ni

***

> What is the formula in the second record?

NiTe5

***

> What is the formula in the first record?

YHoInTc

***

> The lowest raw total energy belongs to which entry?

YHoInTc